Entry 1:
Mg5W4, relaxed, DFT PBE-GGA; space group = No. 139; V = 163.4 Å³/cell; magnetic moment = 0.000 μB per cell; ΔE_f = 0.374 eV per atom
1.0
6.213 -1.834 3.213
-7.187 -0.161 -0.777
1.076 -4.545 -5.520
W Mg
4 5
Direct
0.000 0.650 0.650 W
0.650 0.000 0.650 W
0.000 0.350 0.350 W
0.350 0.000 0.350 W
0.668 0.332 0.000 Mg
0.000 0.000 0.000 Mg
0.332 0.332 0.664 Mg
0.668 0.668 0.336 Mg
0.332 0.668 0.000 Mg



Entry 2:
MgW2, relaxed, DFT PBE-GGA; space group = No. 8; V = 101.2 Å³/cell; magnetic moment = 0.000 μB per cell; ΔE_f = 0.502 eV per atom
1.0
1.345 5.481 -0.005
-1.345 5.481 -0.005
0.000 1.695 6.864
Mg W
2 4
Direct
0.936 0.936 0.622 Mg
0.274 0.274 0.955 Mg
0.603 0.603 0.298 W
0.668 0.668 0.648 W
0.342 0.342 0.318 W
0.011 0.011 0.992 W



Entry 3:
MgW, relaxed, DFT PBE-GGA; space group = No. 194; V = 96.7 Å³/cell; magnetic moment = 0.575 μB per cell; ΔE_f = 2.628 eV per atom
1.0
-1.878 -2.918 -3.055
1.257 -1.523 4.180
-4.758 1.132 1.843
W Mg
2 2
Direct
0.333 0.667 0.750 W
0.667 0.333 0.250 W
0.333 0.667 0.250 Mg
0.667 0.333 0.750 Mg



Entry 4:
Mg5W4, relaxed, DFT PBE-GGA; space group = No. 193; V = 333.4 Å³/cell; magnetic moment = 0.001 μB per cell; ΔE_f = 0.685 eV per atom
1.0
-0.787 6.591 -4.941
3.107 -7.064 -2.988
-5.176 -1.678 -1.415
W Mg
8 10
Direct
0.267 0.000 0.250 W
0.267 0.267 0.750 W
0.000 0.733 0.750 W
0.733 0.733 0.250 W
0.000 0.267 0.250 W
0.000 0.000 0.000 W
0.733 0.000 0.750 W
0.000 0.000 0.500 W
0.667 0.333 0.000 Mg
0.667 0.333 0.500 Mg
0.000 0.381 0.750 Mg
0.333 0.667 0.000 Mg
0.381 0.000 0.750 Mg
0.619 0.619 0.750 Mg
0.000 0.619 0.250 Mg
0.619 0.000 0.250 Mg
0.381 0.381 0.250 Mg
0.333 0.667 0.500 Mg



Entry 5:
MgW, relaxed, DFT PBE-GGA; space group = No. 164; V = 71.0 Å³/cell; magnetic moment = 0.000 μB per cell; ΔE_f = 0.439 eV per atom
1.0
2.865 0.000 0.000
-1.433 2.481 0.000
0.000 0.000 9.982
W Mg
2 2
Direct
0.333 0.667 0.245 W
0.000 0.000 0.005 W
0.333 0.667 0.759 Mg
0.000 0.000 0.491 Mg



Entry 6:
Mg5W3, relaxed, DFT PBE-GGA; space group = No. 1; V = 314.4 Å³/cell; magnetic moment = 0.000 μB per cell; ΔE_f = 0.388 eV per atom
1.0
9.611 0.623 -0.419
-7.556 4.083 0.653
-1.361 -1.596 7.106
Mg W
10 6
Direct
0.957 0.083 0.230 Mg
0.330 0.780 0.757 Mg
0.148 0.613 0.334 Mg
0.171 0.967 0.415 Mg
0.776 0.106 0.543 Mg
0.565 0.148 0.147 Mg
0.794 0.449 0.617 Mg
0.536 0.466 0.217 Mg
0.423 0.261 0.788 Mg
0.990 0.776 0.990 Mg
0.856 0.853 0.593 W
0.148 0.261 0.880 W
0.357 0.485 0.535 W
0.402 0.676 0.134 W
0.911 0.302 0.961 W
0.641 0.782 0.865 W